Computed, not measured: a geometry-optimized AcMnTcO6 structure at the GGA+U level of DFT.

```
AcMnTcO6
1.0
5.810 0.000 0.000
-2.905 5.032 0.000
0.000 0.000 8.262
O Tc Ac Mn
12 2 2 2
direct
0.618 0.696 0.620
0.618 0.922 0.880
0.078 0.696 0.880
0.922 0.618 0.380
0.382 0.078 0.120
0.078 0.382 0.620
0.304 0.382 0.880
0.696 0.618 0.120
0.382 0.304 0.380
0.696 0.078 0.380
0.304 0.922 0.620
0.922 0.304 0.120
0.333 0.667 0.750
0.667 0.333 0.250
0.333 0.667 0.250
0.667 0.333 0.750
0.000 0.000 0.500
0.000 0.000 0.000
```

Calculated values
The space group is No. 163. The total energy is -7.614 eV per atom.